[1]
This record from Alexandria describes an optimized crystal structure of Ag2AuBr. The functional is PBE.

```
Ag2AuBr
1.0
2.997 -0.001 0.000
-1.244 2.727 0.000
0.000 0.000 9.998
Au Br Ag
1 1 2
Direct
0.000 0.000 0.475
0.500 0.500 0.770
0.000 0.000 0.013
0.500 0.500 0.242
```

Results
- size of the total moment (μB/cell) = 0.00
- energy (eV per atom) = -2.46
- offset from the most stable computed form (eV/f.u.) = 0.96
- raw formation energy (eV per atom) = 0.1990


[2]
This record from Alexandria describes an optimized crystal structure of ErTm4Th. The functional is PBE.

```
ErTm4Th
1.0
-4.954 -4.003 -1.583
5.910 0.982 -6.490
3.230 -4.079 6.567
Er Tm Th
2 8 2
Direct
0.339 0.589 0.177
0.661 0.411 0.823
0.050 0.171 0.744
0.749 0.713 0.611
0.194 0.573 0.744
0.363 0.898 0.611
0.637 0.102 0.389
0.806 0.427 0.256
0.251 0.287 0.389
0.950 0.829 0.256
0.251 0.001 0.002
0.749 0.999 0.998
```

Results
- size of the total moment (μB/cell) = 0.00
- energy (eV per atom) = -4.81
- offset from the most stable computed form (eV/f.u.) = 1.02
- ΔH_f (0 K) (kJ/mol of formula units) = 98


[3]
This record from Alexandria describes an optimized crystal structure of Ti3ReOs2. The functional is PBE.

```
Ti3ReOs2
1.0
-1.746 1.807 1.811
1.716 -0.798 2.451
5.706 7.175 -1.657
Ti Re Os
3 1 2
Direct
0.000 0.000 0.000
0.000 0.000 0.667
0.000 0.000 0.333
0.500 0.500 0.500
0.500 0.500 0.835
0.500 0.500 0.165
```

Results
- size of the total moment (μB/cell) = 0.00
- energy (eV per atom) = -10.38
- ΔH_f (0 K) (kJ/mol of formula units) = -356